Entry from Alexandria: a relaxed structure of La2BeNi3As4 (PBE-GGA).

formation energy from the elements	-77	kJ per mole of atoms

Cell and atoms, written as POSCAR:
```
La2BeNi3As4
1.0
4.237 0.000 0.000
0.000 4.237 0.000
0.000 0.000 9.603
La Be Ni As
2 1 3 4
direct
0.000 0.500 0.249
0.500 0.000 0.751
0.500 0.500 0.000
0.000 0.000 0.000
0.000 0.500 0.617
0.500 0.000 0.383
0.000 0.000 0.500
0.000 0.500 0.871
0.500 0.000 0.129
0.500 0.500 0.500
```